Entry from OQMD: HfHgW after structural relaxation (PBE).

Summary:
As for the mass density: 14074 kg/m3. The energy relative to the elements is 1.106 eV/atom.

Cell: 4.5456 4.5456 4.5456 Å, 60.00 60.00 60.00°
Fractional positions:
Hf1 0.2500 0.2500 0.2500
Hg1 0.0000 0.0000 0.0000
W1 0.7500 0.7500 0.7500